[1]
Here is ErNbFe10 after structural relaxation from Alexandria. Energies are from PBE.

a b c (Å): 3.969 4.835 8.345
angles (deg): 90.00 90.00 90.00
Space group Pmmm (No. 47)
Inequivalent atoms, fractional coordinates:
1 Er 0.000 0.000 0.000 [1 per cell]
2 Nb 0.000 0.500 0.500 [1 per cell]
3 Fe 0.000 0.000 0.342 [2 per cell]
4 Fe 0.000 0.500 0.179 [2 per cell]
5 Fe 0.500 0.000 0.500 [1 per cell]
6 Fe 0.500 0.252 0.257 [4 per cell]
7 Fe 0.500 0.500 0.000 [1 per cell]

Properties
ΔH_f (0 K), eV/atom: 0.018

[2]
Here is CrRuPb2 after structural relaxation from Alexandria. Energies are from PBE.

a b c (Å): 10.102 3.365 6.349
angles (deg): 90.00 124.97 90.00
Space group Cm (No. 8)
Inequivalent atoms, fractional coordinates:
1 Cr 0.000 0.000 0.000 [2 per cell]
2 Ru 0.069 0.500 0.291 [2 per cell]
3 Pb 0.215 0.000 0.835 [2 per cell]
4 Pb 0.353 0.000 0.454 [2 per cell]

Properties
ΔH_f (0 K), eV/atom: 0.574
Relative energy among the computed polymorphs, eV/atom: 0.247

[3]
Here is SbRh2Br after structural relaxation from Alexandria. Energies are from PBE.

a b c (Å): 4.1486 4.1486 18.6752
angles (deg): 90.00 90.00 120.00
Space group R3m (No. 160, hexagonal axes)
Inequivalent atoms, fractional coordinates:
1 Sb 0.0000 0.0000 0.0000 [3 per cell]
2 Rh 0.0000 0.0000 0.2874 [3 per cell]
3 Rh 0.0000 0.0000 0.5667 [3 per cell]
4 Br 0.0000 0.0000 0.8188 [3 per cell]

Properties
Relative energy among the computed polymorphs, eV/atom: 0.226
Energy relative to the elements, uncorrected, eV/atom: 0.068

[4]
Here is UIn3Cl7 after structural relaxation from Alexandria. Energies are from PBE.

a b c (Å): 11.077 9.450 8.910
angles (deg): 90.00 128.28 90.00
Space group Cm (No. 8)
Inequivalent atoms, fractional coordinates:
1 U 0.000 0.000 0.000 [2 per cell]
2 In 0.028 0.290 0.445 [4 per cell]
3 In 0.432 0.000 0.865 [2 per cell]
4 Cl 0.059 0.000 0.368 [2 per cell]
5 Cl 0.098 0.264 0.167 [4 per cell]
6 Cl 0.218 0.500 0.884 [2 per cell]
7 Cl 0.266 0.000 0.065 [2 per cell]
8 Cl 0.383 0.321 0.702 [4 per cell]

Properties
Energy relative to the elements, uncorrected, eV/atom: -1.236

[5]
Here is Ta2IrBr after structural relaxation from Alexandria. Energies are from PBE.

a b c (Å): 3.1523 3.1523 27.1030
angles (deg): 90.00 90.00 120.00
Space group R3m (No. 160, hexagonal axes)
Inequivalent atoms, fractional coordinates:
1 Ta 0.0000 0.0000 0.0000 [3 per cell]
2 Ta 0.0000 0.0000 0.2491 [3 per cell]
3 Ir 0.0000 0.0000 0.7347 [3 per cell]
4 Br 0.0000 0.0000 0.5089 [3 per cell]

Properties
Relative energy among the computed polymorphs, eV/atom: 0.023
Energy relative to the elements, uncorrected, eV/atom: 0.062

[6]
Here is TaSiPCl2 after structural relaxation from Alexandria. Energies are from PBE.

a b c (Å): 4.748 4.748 5.042
angles (deg): 90.00 90.00 90.00
Space group P4/mmm (No. 123)
Inequivalent atoms, fractional coordinates:
1 Ta 0.000 0.000 0.000 [1 per cell]
2 Si 0.500 0.500 0.500 [1 per cell]
3 P 0.000 0.000 0.500 [1 per cell]
4 Cl 0.000 0.500 0.000 [2 per cell]

Properties
Relative energy among the computed polymorphs, eV/atom: 0.000
Energy relative to the elements, uncorrected, eV/atom: 0.269

[7]
Here is SrHoZnPb after structural relaxation from Alexandria. Energies are from PBE.

a b c (Å): 7.705 7.705 7.705
angles (deg): 90.00 90.00 90.00
Space group F-43m (No. 216)
Inequivalent atoms, fractional coordinates:
1 Sr 0.000 0.000 0.000 [4 per cell]
2 Ho 0.000 0.000 0.500 [4 per cell]
3 Zn 0.250 0.250 0.750 [4 per cell]
4 Pb 0.250 0.250 0.250 [4 per cell]

Properties
ΔH_f (0 K), eV/atom: -0.300

[8]
Here is Rb2GaNi after structural relaxation from Alexandria. Energies are from PBE.

a b c (Å): 12.734 12.734 4.590
angles (deg): 90.00 90.00 90.00
Space group I-42d (No. 122)
Inequivalent atoms, fractional coordinates:
1 Rb 0.057 0.250 0.125 [8 per cell]
2 Ga 0.000 0.000 0.500 [4 per cell]
3 Ni 0.000 0.000 0.000 [4 per cell]

Properties
ΔH_f (0 K), eV/atom: 0.219

no.,M_tot (μB per cell),E (Ha/atom)
1,17.61,-0.303
2,3.03,-0.221
3,0.00,-0.186
4,4.00,-0.154
5,0.00,-0.312
6,0.75,-0.184
7,0.00,-0.114
8,0.00,-0.091